Record 1
The following is a PBE calculation of an optimized crystal structure of BiMo2As, from Alexandria via LeMat-Bulk.

Structure (POSCAR):
```
BiMo2As
1.0
0.000 3.287 3.287
3.287 0.000 3.287
3.287 3.287 0.000
As Mo Bi
1 2 1
Cartesian
0.000 0.000 0.000 As
1.644 1.644 1.644 Mo
4.931 4.931 4.931 Mo
3.287 3.287 3.287 Bi
```

The value obtained for the formation energy is 0.476 eV/atom. Its space group is Fm-3m, No. 225. The polymorph energy (0 for the lowest one) is 0.000 eV per atom.



Record 2
The following is a PBE calculation of an optimized crystal structure of BiMo2As2, from Alexandria via LeMat-Bulk.

Structure (POSCAR):
```
BiMo2As2
1.0
7.659 0.000 0.000
0.000 7.659 0.000
0.000 0.000 3.155
As Mo Bi
4 4 2
Cartesian
1.068 4.897 1.578 As
4.897 6.592 1.578 As
6.592 2.762 1.578 As
2.762 1.068 1.578 As
2.768 6.597 0.000 Mo
6.597 4.892 0.000 Mo
4.892 1.062 0.000 Mo
1.062 2.768 0.000 Mo
0.000 0.000 0.000 Bi
3.830 3.830 0.000 Bi
```

The value obtained for the formation energy is 0.164 eV/atom. Its space group is P4/mbm, No. 127. The polymorph energy (0 for the lowest one) is 0.000 eV per atom.



Record 3
The following is a PBE calculation of an optimized crystal structure of BiMo2AsPd, from Alexandria via LeMat-Bulk.

Structure (POSCAR):
```
BiMo2AsPd
1.0
5.123 0.000 0.000
0.000 4.528 0.000
0.000 0.000 5.123
As Mo Bi Pd
1 2 1 1
Cartesian
0.000 2.264 0.000 As
0.000 0.000 2.562 Mo
2.562 0.000 0.000 Mo
2.562 2.264 2.562 Bi
0.000 0.000 0.000 Pd
```

The value obtained for the formation energy is 1.327 eV/atom. Its space group is P4/mmm, No. 123.



Record 4
The following is a PBE calculation of an optimized crystal structure of BiMoAs2S, from Alexandria via LeMat-Bulk.

Structure (POSCAR):
```
BiMoAs2S
1.0
4.725 0.000 0.000
0.000 5.626 0.000
0.000 0.000 4.725
S As Mo Bi
1 2 1 1
Cartesian
2.362 2.813 2.362 S
0.000 0.000 2.362 As
2.362 0.000 0.000 As
0.000 0.000 0.000 Mo
0.000 2.813 0.000 Bi
```

Its space group is P4/mmm, No. 123. The uncorrected formation energy is 0.408 eV/atom.



Record 5
The following is a PBE calculation of an optimized crystal structure of ScBi2MoAs, from Alexandria via LeMat-Bulk.

Structure (POSCAR):
```
ScBi2MoAs
1.0
5.544 0.000 0.000
0.000 4.651 0.000
0.000 0.000 5.544
Sc As Mo Bi
1 1 1 2
Cartesian
2.772 2.325 2.772 Sc
0.000 0.000 0.000 As
0.000 2.325 0.000 Mo
0.000 0.000 2.772 Bi
2.772 0.000 0.000 Bi
```

The value obtained for the formation energy is 0.692 eV/atom. Its space group is P4/mmm, No. 123.



Record 6
The following is a PBE calculation of an optimized crystal structure of BiMoAsSe2, from Alexandria via LeMat-Bulk.

Structure (POSCAR):
```
BiMoAsSe2
1.0
4.838 0.000 0.000
0.000 4.838 0.000
0.000 0.000 5.261
As Mo Bi Se
1 1 1 2
Cartesian
0.000 0.000 2.630 As
0.000 0.000 0.000 Mo
2.419 2.419 2.630 Bi
0.000 2.419 0.000 Se
2.419 0.000 0.000 Se
```

Its space group is P4/mmm, No. 123. The polymorph energy (0 for the lowest one) is 0.000 eV per atom. The uncorrected formation energy is 0.293 eV/atom.



Record 7
The following is a PBE calculation of an optimized crystal structure of BiAs2N, from Alexandria via LeMat-Bulk.

Structure (POSCAR):
```
BiAs2N
1.0
-3.721 2.398 -3.428
-3.632 -4.128 1.055
-5.844 2.188 3.302
As Bi N
4 2 2
Cartesian
-3.768 1.225 -0.750 As
-4.668 -1.429 0.621 As
-7.601 0.468 1.720 As
-10.355 0.651 0.266 As
0.000 0.000 0.000 Bi
-6.621 1.860 -0.657 Bi
-3.676 -0.865 -1.187 N
-6.576 -1.403 1.585 N
```

Its space group is I-42d, No. 122. The polymorph energy (0 for the lowest one) is 0.000 eV per atom. The uncorrected formation energy is 0.650 eV/atom.



Record 8
The following is a PBE calculation of an optimized crystal structure of BiAsN3, from Alexandria via LeMat-Bulk.

Structure (POSCAR):
```
BiAsN3
1.0
-2.744 2.500 2.055
-3.154 -2.670 -0.962
0.727 -2.150 3.585
As Bi N
1 1 3
Cartesian
-2.585 -1.160 2.339 As
0.000 0.000 0.000 Bi
-1.577 -1.335 -0.481 N
0.363 -1.075 1.793 N
-1.372 1.250 1.028 N
```

Its space group is Pm-3m, No. 221. The uncorrected formation energy is 2.219 eV/atom.



Record 9
The following is a PBE calculation of an optimized crystal structure of BiAsN3, from Alexandria via LeMat-Bulk.

Structure (POSCAR):
```
BiAsN3
1.0
-1.331 2.252 -2.833
-3.113 -2.252 -0.327
-1.845 2.174 2.595
As Bi N
1 1 3
Cartesian
0.000 0.000 0.000 As
-3.145 1.087 -0.282 Bi
-1.557 -1.126 -0.164 N
-0.923 1.087 1.298 N
-0.665 1.126 -1.416 N
```

Its space group is Pm-3m, No. 221. The uncorrected formation energy is 1.139 eV/atom.



Record 10
The following is a PBE calculation of an optimized crystal structure of Bi2AsN, from Alexandria via LeMat-Bulk.

Structure (POSCAR):
```
Bi2AsN
1.0
6.032 0.000 0.000
0.000 6.032 0.000
3.016 3.016 6.145
As Bi N
2 4 2
Cartesian
0.000 0.000 0.000 As
6.032 3.016 3.072 As
4.071 1.508 1.536 Bi
1.961 4.524 1.536 Bi
4.524 4.977 4.609 Bi
7.540 7.087 4.609 Bi
3.016 3.016 0.000 N
3.016 6.032 3.072 N
```

Its space group is I-42d, No. 122. The polymorph energy (0 for the lowest one) is 0.000 eV per atom. The uncorrected formation energy is 0.528 eV/atom.



Record 11
The following is a PBE calculation of an optimized crystal structure of Bi3AsN, from Alexandria via LeMat-Bulk.

Structure (POSCAR):
```
Bi3AsN
1.0
-1.164 4.470 -1.792
0.574 -1.702 -4.617
-4.781 -1.292 -0.118
As Bi N
1 3 1
Cartesian
-2.686 0.738 -3.264 As
0.287 -0.851 -2.309 Bi
-2.391 -0.646 -0.059 Bi
-0.582 2.235 -0.896 Bi
0.000 0.000 0.000 N
```

Its space group is Pm-3m, No. 221. The polymorph energy (0 for the lowest one) is 0.000 eV per atom. The uncorrected formation energy is 0.615 eV/atom.



Record 12
The following is a PBE calculation of an optimized crystal structure of BiAs3N, from Alexandria via LeMat-Bulk.

Structure (POSCAR):
```
BiAs3N
1.0
-1.131 -3.302 2.889
4.215 0.011 1.662
-1.218 3.102 3.069
As Bi N
3 1 1
Cartesian
2.107 0.006 0.831 As
-0.609 1.551 1.534 As
-0.565 -1.651 1.445 As
0.933 -0.094 3.810 Bi
0.000 0.000 0.000 N
```

Its space group is Pm-3m, No. 221. The polymorph energy (0 for the lowest one) is 0.000 eV per atom. The uncorrected formation energy is 0.667 eV/atom.